DFT (PBE) results for crystalline Zr6HgPd12 at its relaxed geometry.

Structure (CIF):
```
data_Zr6HgPd12
_chemical_formula_sum 'Zr18 Hg3 Pd36'
_cell_length_a 10.3980
_cell_length_b 10.3980
_cell_length_c 11.1687
_cell_angle_alpha 90.00
_cell_angle_beta 90.00
_cell_angle_gamma 120.00
_symmetry_space_group_name_H-M 'R -3'
_symmetry_Int_Tables_number 148
_symmetry_space_group_name_Hall '-R 3'
loop_
_atom_site_label
_atom_site_type_symbol
_atom_site_fract_x
_atom_site_fract_y
_atom_site_fract_z
Zr1 Zr 0.0193 0.4320 0.2445
Hg1 Hg 0.0000 0.0000 0.5000
Pd1 Pd 0.0531 0.1945 0.3177
Pd2 Pd 0.0684 0.8835 0.8952
```

Computed properties:
- Spin magnetization: 0.000 μB per atom
- ΔH_f (0 K): -0.50 eV per atom

DFT (PBE) results for crystalline LiYTl2 at its relaxed geometry.

Structure (CIF):
```
data_LiYTl2
_chemical_formula_sum 'Li4 Y4 Tl8'
_cell_length_a 7.339
_cell_length_b 7.339
_cell_length_c 7.339
_cell_angle_alpha 90.00
_cell_angle_beta 90.00
_cell_angle_gamma 90.00
_symmetry_space_group_name_H-M 'F m -3 m'
_symmetry_Int_Tables_number 225
_symmetry_space_group_name_Hall '-F 4 2 3'
loop_
_atom_site_label
_atom_site_type_symbol
_atom_site_fract_x
_atom_site_fract_y
_atom_site_fract_z
Li1 Li 0.000 0.000 0.000
Y1 Y 0.000 0.000 0.500
Tl1 Tl 0.250 0.250 0.250
```

Computed properties:
- Spin magnetization: 0.000 μB per atom
- ΔH_f (0 K): -0.32 eV per atom
- Energy above the most stable polymorph in this dataset: 9 meV per atom

DFT (PBE) results for crystalline ReAs at its relaxed geometry.

Structure (CIF):
```
data_ReAs
_chemical_formula_sum 'Re3 As3'
_cell_length_a 2.9996
_cell_length_b 2.9996
_cell_length_c 12.8992
_cell_angle_alpha 90.00
_cell_angle_beta 90.00
_cell_angle_gamma 120.00
_symmetry_space_group_name_H-M 'R 3 m'
_symmetry_Int_Tables_number 160
_symmetry_space_group_name_Hall 'R 3 -2"'
loop_
_atom_site_label
_atom_site_type_symbol
_atom_site_fract_x
_atom_site_fract_y
_atom_site_fract_z
Re1 Re 0.0000 0.0000 0.0000
As1 As 0.0000 0.0000 0.8037
```

Computed properties:
- Spin magnetization: 0.000 μB per atom
- ΔH_f (0 K): 0.23 eV per atom
- Energy above the most stable polymorph in this dataset: 155 meV per atom

DFT (PBE) results for crystalline Rb2GeTe2 at its relaxed geometry.

Structure (CIF):
```
data_Rb2GeTe2
_chemical_formula_sum 'Rb4 Ge2 Te4'
_cell_length_a 8.368
_cell_length_b 8.368
_cell_length_c 5.493
_cell_angle_alpha 90.00
_cell_angle_beta 90.00
_cell_angle_gamma 90.00
_symmetry_space_group_name_H-M 'P 4/m b m'
_symmetry_Int_Tables_number 127
_symmetry_space_group_name_Hall '-P 4 2ab'
loop_
_atom_site_label
_atom_site_type_symbol
_atom_site_fract_x
_atom_site_fract_y
_atom_site_fract_z
Rb1 Rb 0.144 0.356 0.000
Ge1 Ge 0.000 0.000 0.500
Te1 Te 0.174 0.674 0.500
```

Computed properties:
- Spin magnetization: 0.000 μB per atom
- Formation energy without anion corrections: -393 meV/atom
- Energy above the most stable polymorph in this dataset: 270 meV per atom

DFT (PBE) results for crystalline NbSbPAu2 at its relaxed geometry.

Structure (CIF):
```
data_NbSbPAu2
_chemical_formula_sum 'Nb1 Sb1 P1 Au2'
_cell_length_a 5.094
_cell_length_b 5.094
_cell_length_c 5.078
_cell_angle_alpha 90.00
_cell_angle_beta 90.00
_cell_angle_gamma 90.00
_symmetry_space_group_name_H-M 'P 4/m m m'
_symmetry_Int_Tables_number 123
_symmetry_space_group_name_Hall '-P 4 2'
loop_
_atom_site_label
_atom_site_type_symbol
_atom_site_fract_x
_atom_site_fract_y
_atom_site_fract_z
Nb1 Nb 0.000 0.000 0.000
Sb1 Sb 0.500 0.500 0.500
P1 P 0.500 0.500 0.000
Au1 Au 0.000 0.500 0.500
```

Computed properties:
- Spin magnetization: 0.563 μB per atom
- Formation energy without anion corrections: 1196 meV/atom

DFT (PBE) results for crystalline ZnGeSe2 at its relaxed geometry.

Structure (CIF):
```
data_ZnGeSe2
_chemical_formula_sum 'Zn3 Ge3 Se6'
_cell_length_a 3.9903
_cell_length_b 3.9903
_cell_length_c 21.4282
_cell_angle_alpha 90.00
_cell_angle_beta 90.00
_cell_angle_gamma 120.00
_symmetry_space_group_name_H-M 'R 3 m'
_symmetry_Int_Tables_number 160
_symmetry_space_group_name_Hall 'R 3 -2"'
loop_
_atom_site_label
_atom_site_type_symbol
_atom_site_fract_x
_atom_site_fract_y
_atom_site_fract_z
Zn1 Zn 0.0000 0.0000 0.0000
Ge1 Ge 0.0000 0.0000 0.8472
Se1 Se 0.0000 0.0000 0.1181
Se2 Se 0.0000 0.0000 0.6246
```

Computed properties:
- Spin magnetization: 0.000 μB per atom
- Formation energy without anion corrections: -407 meV/atom

DFT (PBE) results for crystalline MgSn2Os at its relaxed geometry.

Structure (CIF):
```
data_MgSn2Os
_chemical_formula_sum 'Mg4 Sn8 Os4'
_cell_length_a 9.810
_cell_length_b 9.810
_cell_length_c 5.319
_cell_angle_alpha 90.00
_cell_angle_beta 90.00
_cell_angle_gamma 90.00
_symmetry_space_group_name_H-M 'I 41/a m d'
_symmetry_Int_Tables_number 141
loop_
_symmetry_equiv_pos_as_xyz
'x,y,z'
'-x,-y,-z'
'-y+1/4,x+3/4,z+1/4'
'y+1/4,-x+3/4,-z+1/4'
'-x+1/2,-y,z+1/2'
'x+1/2,y,-z+1/2'
'y+1/4,-x+1/4,z+3/4'
'-y+1/4,x+1/4,-z+3/4'
'x,-y,-z'
'-x,y,z'
'-y+1/4,-x+1/4,-z+3/4'
'y+1/4,x+1/4,z+3/4'
'-x+1/2,y,-z+1/2'
'x+1/2,-y,z+1/2'
'y+1/4,x+3/4,-z+1/4'
'-y+1/4,-x+3/4,z+1/4'
'x+1/2,y+1/2,z+1/2'
'-x+1/2,-y+1/2,-z+1/2'
'-y+3/4,x+1/4,z+3/4'
'y+3/4,-x+1/4,-z+3/4'
'-x,-y+1/2,z'
'x,y+1/2,-z'
'y+3/4,-x+3/4,z+1/4'
'-y+3/4,x+3/4,-z+1/4'
'x+1/2,-y+1/2,-z+1/2'
'-x+1/2,y+1/2,z+1/2'
'-y+3/4,-x+3/4,-z+1/4'
'y+3/4,x+3/4,z+1/4'
'-x,y+1/2,-z'
'x,-y+1/2,z'
'y+3/4,x+1/4,-z+3/4'
'-y+3/4,-x+1/4,z+3/4'
loop_
_atom_site_label
_atom_site_type_symbol
_atom_site_fract_x
_atom_site_fract_y
_atom_site_fract_z
Mg1 Mg 0.000 0.250 0.375
Sn1 Sn 0.000 0.000 0.000
Os1 Os 0.000 0.250 0.875
```

Computed properties:
- Spin magnetization: 0.000 μB per atom
- ΔH_f (0 K): 0.16 eV per atom

DFT (PBE) results for crystalline BaCa2Ru at its relaxed geometry.

Structure (CIF):
```
data_BaCa2Ru
_chemical_formula_sum 'Ba2 Ca4 Ru2'
_cell_length_a 6.621
_cell_length_b 11.245
_cell_length_c 3.711
_cell_angle_alpha 90.00
_cell_angle_beta 117.80
_cell_angle_gamma 90.00
_symmetry_space_group_name_H-M 'C 1 2/m 1'
_symmetry_Int_Tables_number 12
loop_
_symmetry_equiv_pos_as_xyz
'x,y,z'
'-x,-y,-z'
'-x,y,-z'
'x,-y,z'
'x+1/2,y+1/2,z'
'-x+1/2,-y+1/2,-z'
'-x+1/2,y+1/2,-z'
'x+1/2,-y+1/2,z'
loop_
_atom_site_label
_atom_site_type_symbol
_atom_site_fract_x
_atom_site_fract_y
_atom_site_fract_z
Ba1 Ba 0.000 0.000 0.000
Ca1 Ca 0.250 0.250 0.500
Ru1 Ru 0.000 0.500 0.000
```

Computed properties:
- Spin magnetization: 0.091 μB per atom
- ΔH_f (0 K): 0.66 eV per atom
- Energy above the most stable polymorph in this dataset: 431 meV per atom